The following is a PBE-GGA calculation of crystalline Dy3ErS at its relaxed geometry, from Alexandria via LeMat-Bulk.

Output
ΔE_f (raw) (meV per atom): -644
Space group: Pm-3m, No. 221

Structure (POSCAR):
```
Dy3ErS
1.0
5.2856 0.0000 0.0000
0.0000 5.2856 0.0000
0.0000 0.0000 5.2856
Dy Er S
3 1 1
direct
0.0000 0.0000 0.5000 Dy
0.0000 0.5000 0.0000 Dy
0.5000 0.0000 0.0000 Dy
0.5000 0.5000 0.5000 Er
0.0000 0.0000 0.0000 S
```



The following is a PBE-GGA calculation of crystalline Dy3ErS6 at its relaxed geometry, from Alexandria via LeMat-Bulk.

Output
ΔE_f (raw) (meV per atom): -2068
Space group: R-3, No. 148

Structure (POSCAR):
```
Dy3ErS6
1.0
5.7217 3.3034 4.5352
-5.7217 3.3034 4.5352
0.0000 -6.6069 4.5352
Dy Er S
6 2 12
direct
0.0676 0.5766 0.7475 Dy
0.2525 0.9324 0.4234 Dy
0.4234 0.2525 0.9324 Dy
0.5766 0.7475 0.0676 Dy
0.7475 0.0676 0.5766 Dy
0.9324 0.4234 0.2525 Dy
0.0000 0.0000 0.0000 Er
0.5000 0.5000 0.5000 Er
0.0367 0.9061 0.6822 S
0.0939 0.3178 0.9633 S
0.1856 0.5901 0.4188 S
0.3178 0.9633 0.0939 S
0.4099 0.5812 0.8144 S
0.4188 0.1856 0.5901 S
0.5812 0.8144 0.4099 S
0.5901 0.4188 0.1856 S
0.6822 0.0367 0.9061 S
0.8144 0.4099 0.5812 S
0.9061 0.6822 0.0367 S
0.9633 0.0939 0.3178 S
```



The following is a PBE-GGA calculation of crystalline Dy3Er2S4 at its relaxed geometry, from Alexandria via LeMat-Bulk.

Output
ΔE_f (raw) (meV per atom): -1743
Space group: P-3m1, No. 164

Structure (POSCAR):
```
Dy3Er2S4
1.0
3.8345 0.0000 0.0000
-1.9172 3.3207 0.0000
0.0000 0.0000 15.8834
Dy Er S
3 2 4
direct
0.0000 0.0000 0.0000 Dy
0.3333 0.6667 0.5902 Dy
0.6667 0.3333 0.4098 Dy
0.3333 0.6667 0.2050 Er
0.6667 0.3333 0.7950 Er
0.0000 0.0000 0.3036 S
0.0000 0.0000 0.6964 S
0.3333 0.6667 0.8962 S
0.6667 0.3333 0.1038 S
```



What is the ΔE_f (raw) in the first record?
-644 meV per atom